1.
A plane-wave DFT calculation with PBEsol was carried out for an optimized crystal structure of K2UTe3.

The structure in CIF format:
```
data_K2UTe3
_cell_length_a 7.917
_cell_length_b 13.715
_cell_length_c 8.463
_cell_angle_alpha 90.00
_cell_angle_beta 108.38
_cell_angle_gamma 90.00
_symmetry_space_group_name_H-M 'C 1 2/m 1'
_symmetry_Int_Tables_number 12
loop_
_symmetry_equiv_pos_as_xyz
'x,y,z'
'-x,-y,-z'
'-x,y,-z'
'x,-y,z'
'x+1/2,y+1/2,z'
'-x+1/2,-y+1/2,-z'
'-x+1/2,y+1/2,-z'
'x+1/2,-y+1/2,z'
loop_
_atom_site_label
_atom_site_type_symbol
_atom_site_fract_x
_atom_site_fract_y
_atom_site_fract_z
K1 K 0.000 0.000 0.000
K2 K 0.000 0.155 0.500
K3 K 0.000 0.500 0.500
U1 U 0.000 0.332 0.000
Te1 Te 0.204 0.500 0.210
Te2 Te 0.243 0.316 0.786
```

E_tot (eV/atom): -4.9815
Uncorrected formation energy (eV per formula unit): -4.886
M_tot (μB per formula unit): 2.0

---

2.
A plane-wave DFT calculation with PBEsol was carried out for an optimized crystal structure of AuSe3.

The structure in CIF format:
```
data_AuSe3
_cell_length_a 2.713
_cell_length_b 3.796
_cell_length_c 7.690
_cell_angle_alpha 90.00
_cell_angle_beta 90.00
_cell_angle_gamma 90.00
_symmetry_space_group_name_H-M 'P m m m'
_symmetry_Int_Tables_number 47
loop_
_symmetry_equiv_pos_as_xyz
'x,y,z'
'-x,-y,-z'
'-x,-y,z'
'x,y,-z'
'x,-y,-z'
'-x,y,z'
'-x,y,-z'
'x,-y,z'
loop_
_atom_site_label
_atom_site_type_symbol
_atom_site_fract_x
_atom_site_fract_y
_atom_site_fract_z
Au1 Au 0.000 0.000 0.000
Se1 Se 0.000 0.000 0.500
Se2 Se 0.500 0.500 0.229
```

E_tot (eV/atom): -3.4316
Uncorrected formation energy (eV per formula unit): 1.748
M_tot (μB per formula unit): 0.0